Entry 1:
Material: LaNb3O8
Method: DFT, PBE
State: relaxed

Values from the calculation:
DOS at the Fermi energy: 0.3106 states/eV/atom
space-group type: No. 147
E_form (uncorrected): -2364 meV per atom

abc: 5.5524 5.5524 6.1411
angles: 90.00 90.00 120.00
Atoms (fractional coordinates):
O: 0.6667 0.3333 0.5921
O: 0.0466 0.3574 0.8537
O: 0.3108 0.9534 0.8537
O: 0.6892 0.0466 0.1463
O: 0.3574 0.3108 0.1463
O: 0.9534 0.6426 0.1463
O: 0.3333 0.6667 0.4079
O: 0.6426 0.6892 0.8537
Nb: 0.3333 0.6667 0.1115
Nb: 0.0000 0.0000 0.0000
Nb: 0.6667 0.3333 0.8885
La: 0.0000 0.0000 0.5000


Entry 2:
Material: NdHo5Er
Method: DFT, PBE
State: relaxed

Values from the calculation:
DOS at the Fermi energy: 1.1325 states/eV/atom
E above lowest polymorph: 1039 meV per atom
space-group type: No. 71
calculated formation energy: 1.1037 eV/atom

abc: 5.7537 7.8852 7.8852
angles: 66.05 68.60 68.60
Atoms (fractional coordinates):
Ho: 0.0000 0.5000 0.5000
Ho: 0.5000 0.8230 0.1770
Ho: 0.2555 0.7445 0.7445
Ho: 0.7445 0.2555 0.2555
Ho: 0.5000 0.1770 0.8230
Er: 0.0000 0.0000 0.0000
Nd: 0.5000 0.5000 0.5000


Entry 3:
Material: Ba2NbCuPd
Method: DFT, PBE
State: relaxed

Values from the calculation:
DOS at the Fermi energy: 0.4689 states/eV/atom
space-group type: No. 123
calculated formation energy: 0.6887 eV/atom

abc: 6.0779 4.8181 6.0779
angles: 90.00 90.00 90.00
Each line ends with the local moment (μB).
Atoms (fractional coordinates):
Nb: 0.5000 0.5000 0.5000  2.97
Ba: 0.0000 0.0000 0.5000  0.08
Ba: 0.5000 0.0000 0.0000  0.09
Pd: 0.0000 0.0000 0.0000  0.04
Cu: 0.0000 0.5000 0.0000  0.02


Entry 4:
Material: NaHS2Cl
Method: DFT, PBE
State: relaxed

Values from the calculation:
DOS at the Fermi energy: 0.5267 states/eV/atom
E above lowest polymorph: 1080 meV per atom
space-group type: No. 123

abc: 5.5148 5.5148 5.2527
angles: 90.00 90.00 90.00
Each line ends with the local moment (μB).
Atoms (fractional coordinates):
H: 0.5000 0.5000 0.5000  0.38
Na: 0.0000 0.0000 0.0000  0.00
Cl: 0.0000 0.0000 0.5000  0.30
S: 0.0000 0.5000 0.0000  1.10
S: 0.5000 0.0000 0.0000  1.10


Entry 5:
Material: TcHgSe4
Method: DFT, PBE
State: relaxed

Values from the calculation:
DOS at the Fermi energy: 0.6037 states/eV/atom
space-group type: No. 216
E_form (uncorrected): 904 meV per atom

abc: 5.7808 5.7808 5.7808
angles: 60.00 60.00 60.00
Each line ends with the local moment (μB).
Atoms (fractional coordinates):
Se: 0.3749 0.8752 0.3749  0.08
Se: 0.8752 0.3749 0.3749  0.08
Se: 0.3749 0.3749 0.8752  0.08
Se: 0.3749 0.3749 0.3749  0.08
Hg: 0.0000 0.0000 0.0000  0.04
Tc: 0.7500 0.7500 0.7500  3.65


Entry 6:
Material: LaYSb2
Method: DFT, PBE
State: relaxed

Values from the calculation:
DOS at the Fermi energy: 0.7341 states/eV/atom
E above lowest polymorph: 920 meV per atom
space-group type: No. 99
E_form (uncorrected): -299 meV per atom

abc: 3.4586 3.4586 10.8867
angles: 90.00 90.00 90.01
Atoms (fractional coordinates):
La: 0.5000 0.5000 0.7703
Y: 0.0000 0.0000 0.4715
Sb: 0.5000 0.5000 0.2795
Sb: 0.0000 0.0000 0.9787


Entry 7:
Material: TbHoPuSc
Method: DFT, PBE
State: relaxed

Values from the calculation:
DOS at the Fermi energy: 2.3431 states/eV/atom
space-group type: No. 216
calculated formation energy: 0.1817 eV/atom

abc: 5.4558 5.4558 5.4558
angles: 60.00 60.00 60.00
Each line ends with the local moment (μB).
Atoms (fractional coordinates):
Tb: 0.2500 0.2500 0.2500  0.03
Sc: 0.0000 0.0000 0.0000  0.11
Pu: 0.7500 0.7500 0.7500  5.45
Ho: 0.5000 0.5000 0.5000  0.16


Entry 8:
Material: TeBrCl
Method: DFT, PBE
State: relaxed

Values from the calculation:
E above lowest polymorph: 15 meV per atom
space-group type: No. 1
E_form (uncorrected): -354 meV per atom

abc: 5.6168 7.2053 7.4208
angles: 105.93 104.59 99.35
Atoms (fractional coordinates):
Te: 0.2143 0.7655 0.8478
Te: 0.0305 0.8822 0.1610
Br: 0.8840 0.0291 0.8384
Br: 0.5186 0.5478 0.9644
Cl: 0.3704 0.1696 0.3705
Cl: 0.1752 0.6728 0.3511


Entry 9:
Material: SrIr
Method: DFT, PBE
State: relaxed

Values from the calculation:
DOS at the Fermi energy: 1.3951 states/eV/atom
space-group type: No. 129
calculated formation energy: 0.1475 eV/atom

abc: 3.7237 3.7237 8.6690
angles: 90.00 90.00 90.00
Atoms (fractional coordinates):
Ir: 0.7500 0.2500 0.0000
Ir: 0.2500 0.7500 0.0000
Sr: 0.7500 0.7500 0.7141
Sr: 0.2500 0.2500 0.2859


Entry 10:
Material: TlRe2Au
Method: DFT, PBE
State: relaxed

Values from the calculation:
DOS at the Fermi energy: 0.7079 states/eV/atom
E above lowest polymorph: 377 meV per atom
space-group type: No. 8
calculated formation energy: 0.7817 eV/atom

abc: 4.9594 4.9594 5.1001
angles: 81.81 81.81 34.22
Atoms (fractional coordinates):
Au: 0.2554 0.2554 0.2531
Tl: 0.4966 0.4966 0.4879
Re: 0.7403 0.7403 0.7904
Re: 0.0077 0.0077 0.9686


Entry 11:
Material: Zr4HgH
Method: DFT, PBE
State: relaxed

Values from the calculation:
energy: -6.373 eV/atom
DOS at the Fermi energy: 0.8292 states/eV/atom
space-group type: No. 12

abc: 3.2602 6.9656 11.2859
angles: 109.15 90.00 90.00
Atoms (fractional coordinates):
Zr: 0.9996 0.1423 0.8277
Zr: 0.5004 0.6423 0.3277
Zr: 0.5002 0.2208 0.3583
Zr: 0.0002 0.2792 0.1417
Zr: 0.4998 0.7792 0.6417
Zr: 0.0004 0.8577 0.1723
Zr: 0.9998 0.7208 0.8583
Zr: 0.4996 0.3577 0.6723
Hg: 0.0000 0.0000 0.5000
Hg: 0.5000 0.5000 0.0000
H: 0.5000 0.5000 0.5000
H: 0.0000 0.0000 0.0000


Entry 12:
Material: CoHgP2
Method: DFT, PBE
State: relaxed

Values from the calculation:
DOS at the Fermi energy: 0.9310 states/eV/atom
space-group type: No. 123
calculated formation energy: 0.0476 eV/atom

abc: 2.7702 2.7702 9.3883
angles: 90.00 90.00 89.99
Each line ends with the local moment (μB).
Atoms (fractional coordinates):
Co: 0.5000 0.5000 0.2500  0.40
P: 0.0000 0.0000 0.1018  0.01
P: 0.0000 0.0000 0.3982  0.01
Hg: 0.5000 0.5000 0.7500  0.00


Entry 13:
Material: CaSe2SN
Method: DFT, PBE
State: relaxed

Values from the calculation:
DOS at the Fermi energy: 0.6311 states/eV/atom
E above lowest polymorph: 0 meV per atom
space-group type: No. 123
E_form (uncorrected): 86 meV per atom

abc: 5.3082 5.3082 3.4456
angles: 90.00 90.00 90.00
Each line ends with the local moment (μB).
Atoms (fractional coordinates):
S: 0.0000 0.0000 0.0000  -0.01
Ca: 0.5000 0.5000 0.5000  0.00
Se: 0.5000 0.0000 0.0000  0.03
Se: 0.0000 0.5000 0.0000  0.03
N: 0.0000 0.0000 0.5000  0.06


Entry 14:
Material: CaAcCrN4
Method: DFT, PBE
State: relaxed

Values from the calculation:
DOS at the Fermi energy: 0.3916 states/eV/atom
space-group type: No. 11
E_form (uncorrected): -766 meV per atom

abc: 5.6789 5.7050 7.2013
angles: 90.00 109.11 90.00
Each line ends with the local moment (μB).
Atoms (fractional coordinates):
Ac: 0.2899 0.2500 0.0688  0.01
Ac: 0.7101 0.7500 0.9312  0.01
N: 0.9583 0.0108 0.7590  0.16
N: 0.5985 0.2500 0.4427  0.36
N: 0.9583 0.4892 0.7590  0.16
N: 0.4451 0.7500 0.1712  0.13
N: 0.0417 0.5108 0.2410  0.16
N: 0.5549 0.2500 0.8288  0.13
N: 0.4015 0.7500 0.5573  0.36
N: 0.0417 0.9892 0.2410  0.16
Cr: 0.7610 0.2500 0.6936  -0.15
Cr: 0.2390 0.7500 0.3064  -0.15
Ca: 0.1956 0.2500 0.5294  0.01
Ca: 0.8044 0.7500 0.4706  0.01


Entry 15:
Material: NbAsBr3
Method: DFT, PBE
State: relaxed

Values from the calculation:
DOS at the Fermi energy: 1.5014 states/eV/atom
E above lowest polymorph: 552 meV per atom
space-group type: No. 221
E_form (uncorrected): 713 meV per atom

abc: 5.3194 5.3194 5.3194
angles: 90.00 90.00 90.00
Each line ends with the local moment (μB).
Atoms (fractional coordinates):
Nb: 0.5000 0.5000 0.5000  3.09
As: 0.0000 0.0000 0.0000  0.01
Br: 0.0000 0.5000 0.0000  -0.01
Br: 0.0000 0.0000 0.5000  -0.01
Br: 0.5000 0.0000 0.0000  -0.01


Entry 16:
Material: Ba2CeScS6
Method: DFT, PBE
State: relaxed

Values from the calculation:
DOS at the Fermi energy: 1.0969 states/eV/atom
space-group type: No. 14
E_form (uncorrected): -1791 meV per atom

abc: 7.1606 7.3965 10.2686
angles: 90.00 90.48 90.00
Atoms (fractional coordinates):
Sc: 0.0000 0.5000 0.0000
Sc: 0.5000 0.0000 0.5000
Ce: 0.5000 0.0000 0.0000
Ce: 0.0000 0.5000 0.5000
S: 0.7837 0.7932 0.5359
S: 0.9310 0.5122 0.2432
S: 0.0690 0.4878 0.7568
S: 0.7969 0.7826 0.9632
S: 0.4310 0.9878 0.7432
S: 0.2031 0.2174 0.0368
S: 0.2837 0.7068 0.0359
S: 0.7163 0.2932 0.9641
S: 0.5690 0.0122 0.2568
S: 0.7031 0.2826 0.5368
S: 0.2969 0.7174 0.4632
S: 0.2163 0.2068 0.4641
Ba: 0.0165 0.9456 0.2493
Ba: 0.4835 0.4456 0.2507
Ba: 0.5165 0.5544 0.7493
Ba: 0.9835 0.0544 0.7507


Entry 17:
Material: AlInTe3
Method: DFT, PBE
State: relaxed

Values from the calculation:
E above lowest polymorph: 92 meV per atom
space-group type: No. 12
E_form (uncorrected): -259 meV per atom

abc: 4.1535 7.5285 11.8389
angles: 96.34 90.00 106.01
Atoms (fractional coordinates):
Te: 0.6465 0.2930 0.4220
Te: 0.1290 0.2579 0.7442
Te: 0.3535 0.7070 0.5780
Te: 0.8562 0.7124 0.9375
Te: 0.1438 0.2876 0.0625
Te: 0.8710 0.7421 0.2558
Al: 0.6683 0.3366 0.8954
Al: 0.3317 0.6634 0.1046
In: 0.9290 0.8579 0.7081
In: 0.0710 0.1421 0.2919


Entry 18:
Material: NaHf2MgTi
Method: DFT, PBE
State: relaxed

Values from the calculation:
DOS at the Fermi energy: 1.1452 states/eV/atom
space-group type: No. 123
calculated formation energy: 1.4972 eV/atom

abc: 5.0171 4.7620 5.0171
angles: 90.00 90.00 90.00
Atoms (fractional coordinates):
Ti: 0.0000 0.5000 0.0000
Hf: 0.5000 0.0000 0.0000
Hf: 0.0000 0.0000 0.5000
Mg: 0.5000 0.5000 0.5000
Na: 0.0000 0.0000 0.0000


Entry 19:
Material: Pm8Sm2Tl
Method: DFT, PBE
State: relaxed

Values from the calculation:
DOS at the Fermi energy: 1.3126 states/eV/atom
E above lowest polymorph: 0 meV per atom
space-group type: No. 12
calculated formation energy: -0.0405 eV/atom

abc: 5.0645 8.0946 9.5449
angles: 104.92 105.38 90.00
Atoms (fractional coordinates):
Pm: 0.4103 0.5576 0.8206
Pm: 0.0444 0.7256 0.0889
Pm: 0.8638 0.8217 0.7275
Pm: 0.6790 0.9086 0.3580
Pm: 0.9556 0.2744 0.9111
Pm: 0.3210 0.0914 0.6420
Pm: 0.5897 0.4424 0.1794
Pm: 0.1362 0.1783 0.2725
Sm: 0.7762 0.3655 0.5525
Sm: 0.2238 0.6345 0.4475
Tl: 0.5000 0.0000 0.0000


Entry 20:
Material: Tb4Y7Th
Method: DFT, PBE
State: relaxed

Values from the calculation:
DOS at the Fermi energy: 1.6433 states/eV/atom
E above lowest polymorph: 221 meV per atom
space-group type: No. 12
calculated formation energy: 0.3168 eV/atom

abc: 5.9328 11.6130 6.7594
angles: 83.41 63.97 75.20
Atoms (fractional coordinates):
Tb: 0.3601 0.7758 0.5039
Tb: 0.2417 0.3219 0.1947
Tb: 0.7583 0.6781 0.8053
Tb: 0.6399 0.2242 0.4961
Y: 0.2132 0.0772 0.4965
Y: 0.7868 0.9228 0.5035
Y: 0.5000 0.0000 0.0000
Y: 0.6330 0.5001 0.2338
Y: 0.3670 0.4999 0.7662
Y: 0.0613 0.6790 0.1983
Y: 0.9387 0.3210 0.8017
Th: 0.0000 0.0000 0.0000


Ρ readings, ordered: 5526; 6409; 5015; 1285; 7469; 6010; 8862; 2981; 7732; 18419; 7771; 7409; 4174; 5651; 4496; 3982; 4929; 6264; 7605; 6116 kg/m³
Magnetic moment readings, ordered: 0.0; 0.0; 4.7; 5.0; 4.7; 0.0; 6.2; 0.0; 0.0; 0.0; 0.0; 0.4; 0.1; 1.0; 4.0; 0.0; 0.0; 0.0; 0.0; 0.0 μB per formula unit